Entry 1:
A plane-wave DFT calculation with PBE with a Hubbard U was carried out for a relaxed structure of CoCuAg2F6.

Properties
N(E_F) (states/eV/cell): 5.570
Symmetry: P2_1/c, No. 14
ρ (g/cm³): 5.7

Lattice parameters (Å, degrees): 5.747 5.854 7.806 90.00 90.58 90.00
Sites, in units of the cell vectors:
Co  0.500  0.000  0.500
Co  0.000  0.500  0.000
Cu  0.500  0.000  0.000
Cu  0.000  0.500  0.500
Ag  0.010  0.957  0.249
Ag  0.510  0.543  0.749
Ag  0.990  0.043  0.751
Ag  0.490  0.457  0.251
F  0.277  0.691  0.049
F  0.777  0.809  0.549
F  0.723  0.309  0.951
F  0.223  0.191  0.451
F  0.283  0.702  0.463
F  0.783  0.798  0.963
F  0.717  0.298  0.537
F  0.217  0.202  0.037
F  0.913  0.514  0.257
F  0.413  0.986  0.757
F  0.087  0.486  0.743
F  0.587  0.014  0.243

=====

Entry 2:
A plane-wave DFT calculation with PBE with a Hubbard U was carried out for a relaxed structure of CoCu2AgF8.

Properties
N(E_F) (states/eV/cell): 4.503
Symmetry: I-4, No. 82
ρ (g/cm³): 4.8

Lattice parameters (Å, degrees): 5.274 5.274 6.684 113.23 113.23 90.00
Sites, in units of the cell vectors:
Co  0.000  0.000  0.000
Cu  0.500  0.500  0.000
Cu  0.250  0.750  0.500
Ag  0.750  0.250  0.500
F  0.771  0.826  0.111
F  0.340  0.285  0.111
F  0.602  0.646  0.624
F  0.022  0.978  0.624
F  0.022  0.398  0.376
F  0.354  0.978  0.376
F  0.174  0.660  0.889
F  0.715  0.229  0.889

=====

no.,total energy (eV per cell)
1,-81.478
2,-48.766